The following is a DFT calculation (PBE) of an optimized crystal structure of Er4TcTe.

a b c (Å): 7.928 4.149 19.310
angles (deg): 90.00 90.00 90.00
Space group Pnma (No. 62)
Symmetry-distinct sites (fractional):
Er  0.002  0.250  0.066 x4
Er  0.071  0.750  0.208 x4
Er  0.115  0.750  0.641 x4
Er  0.145  0.750  0.459 x4
Tc  0.249  0.750  0.059 x4
Te  0.236  0.750  0.803 x4

Energy above the most stable polymorph in this dataset: 0 meV per atom
E_form (uncorrected): -0.53 eV per atom
Calculated volume: 26.5 Å³/atom

The following is a DFT calculation (PBE) of an optimized crystal structure of Er3TcTe.

a b c (Å): 11.987 4.298 11.438
angles (deg): 90.00 116.99 90.00
Space group C2/m (No. 12)
Symmetry-distinct sites (fractional):
Er  0.035  0.000  0.362 x4
Er  0.126  0.500  0.166 x4
Er  0.175  0.500  0.880 x4
Tc  0.045  0.000  0.920 x4
Te  0.173  0.500  0.603 x4

Energy above the most stable polymorph in this dataset: 0 meV per atom
E_form (uncorrected): -0.55 eV per atom
Calculated volume: 26.3 Å³/atom

The following is a DFT calculation (PBE) of an optimized crystal structure of Er4TcTe.

a b c (Å): 17.388 5.308 9.429
angles (deg): 90.00 109.38 90.00
Space group C2/m (No. 12)
Symmetry-distinct sites (fractional):
Er  0.015  0.000  0.249 x4
Er  0.099  0.500  0.030 x4
Er  0.200  0.000  0.905 x4
Er  0.236  0.000  0.302 x4
Tc  0.091  0.000  0.054 x4
Te  0.160  0.000  0.560 x4

Energy above the most stable polymorph in this dataset: 296 meV per atom
E_form (uncorrected): -0.23 eV per atom
Calculated volume: 34.2 Å³/atom